Entry 1:
DFT (GGA-PBE) results for a relaxed CePuMgRh crystal.

```
4
Lattice="4.885 0.000 0.000 2.442 4.230 0.000 2.442 1.410 3.988" Properties=species:S:1:pos:R:3 pbc="T T T"
Pu 2.442 1.410 0.997
Mg 0.000 0.000 0.000
Rh 7.327 4.230 2.991
Ce 4.885 2.820 1.994
```

* raw total energy: -7.551 eV per atom
* symmetry: F-43m (216)
* formation energy from the elements: -248 meV/atom
* total magnetic moment: 5.58 μB per formula unit
* DOS at the Fermi energy: 6.13 states/eV/f.u.

=====

Entry 2:
DFT (GGA-PBE) results for a relaxed CePuMgRu crystal.

```
4
Lattice="-3.893 2.272 1.806 -0.827 -0.031 4.784 0.549 4.073 2.585" Properties=species:S:1:pos:R:3 pbc="T T T"
Ru 0.000 0.000 0.000
Ce -3.128 4.736 6.881
Pu -2.085 3.157 4.588
Mg -1.043 1.579 2.294
```

* raw total energy: -7.821 eV per atom
* symmetry: F-43m (216)
* formation energy from the elements: -36 meV/atom
* total magnetic moment: 5.27 μB per formula unit
* DOS at the Fermi energy: 6.46 states/eV/f.u.

=====

Entry 3:
DFT (GGA-PBE) results for a relaxed CePuMgSc crystal.

```
4
Lattice="-4.351 -1.931 2.213 -1.505 -4.924 -1.027 0.361 -3.686 3.721" Properties=species:S:1:pos:R:3 pbc="T T T"
Pu -2.748 -5.270 2.453
Ce -1.374 -2.635 1.227
Sc -4.121 -7.905 3.680
Mg 0.000 0.000 0.000
```

* raw total energy: -6.932 eV per atom
* symmetry: F-43m (216)
* formation energy from the elements: 116 meV/atom
* total magnetic moment: 8.82 μB per formula unit
* DOS at the Fermi energy: 14.07 states/eV/f.u.